(A)
ZnInW2: optimized geometry, PBE-GGA.

Values from the calculation:
The calculation puts the density of states at the Fermi level at 2.56 states/eV per cell. The calculated density is 13.495 g cm⁻³. Its space group is P4/mmm, No. 123. The value obtained for the total magnetization is 0.00 μB per formula unit.

```
4
Lattice="2.7760 0.0000 0.0000 0.0000 2.7760 0.0000 0.0000 0.0000 8.7489" Properties=species:S:1:pos:R:3 pbc="T T T"
Zn 0.0000 0.0000 0.0000
In 0.0000 0.0000 4.3745
W 1.3880 1.3880 2.0547
W 1.3880 1.3880 6.6943
```

(B)
ZnInW2: optimized geometry, PBE-GGA.

Values from the calculation:
The calculation puts the density of states at the Fermi level at 2.34 states/eV per cell. The calculated density is 13.360 g cm⁻³. Its space group is Cm, No. 8. The value obtained for the total magnetization is 0.00 μB per formula unit.

```
4
Lattice="4.7805 -1.3900 0.0000 4.7805 1.3900 0.0000 -0.5287 0.0000 5.1240" Properties=species:S:1:pos:R:3 pbc="T T T"
Zn 0.0000 0.0000 0.0000
In 1.9398 0.0000 3.9382
W 4.4919 0.0000 2.4640
W 6.9479 0.0000 1.3577
```

(B) is the most stable structure; the next one sits 7.7 kJ/mol of atoms above it.